(1)
Ca2MgBr | the Alexandria database | PBE | optimized geometry; energy above the most stable polymorph in this dataset = 150 meV per atom; raw total energy = -2.348 eV/atom; formation energy (no corrections) = -51.2 kJ/mol of atoms; SG = Cm, No. 8
1.0
6.335 -1.870 0.000
6.335 1.870 0.000
-2.053 0.000 5.531
Ca Mg Br
2 1 1
Cartesian
0.000 0.000 0.000
1.499 0.000 3.510
4.883 0.000 2.600
8.836 0.000 0.143

***

(2)
Ca2MgBr | the Alexandria database | PBE | optimized geometry; energy above the most stable polymorph in this dataset = 292 meV per atom; raw total energy = -2.207 eV/atom; formation energy (no corrections) = -37.5 kJ/mol of atoms; SG = I4/mmm, No. 139
1.0
-2.587 2.587 4.749
2.587 -2.587 4.749
2.587 2.587 -4.749
Ca Mg Br
2 1 1
Cartesian
2.587 0.000 2.375
0.000 2.587 2.375
0.000 0.000 0.000
0.000 0.000 4.749

***

(3)
CaMg4Br | the Alexandria database | PBE | optimized geometry; raw total energy = -1.766 eV/atom; formation energy (no corrections) = -8.8 kJ/mol of atoms; SG = F-43m, No. 216
1.0
0.000 4.402 4.402
4.402 0.000 4.402
4.402 4.402 0.000
Ca Mg Br
1 4 1
Cartesian
0.000 0.000 0.000
5.519 3.285 3.285
3.285 5.519 3.285
3.285 3.285 5.519
5.519 5.519 5.519
2.201 2.201 2.201

***

(4)
Ca2MgBr | the Alexandria database | PBE | optimized geometry; energy above the most stable polymorph in this dataset = 0 meV per atom; raw total energy = -2.498 eV/atom; formation energy (no corrections) = -65.7 kJ/mol of atoms; SG = Pmmm, No. 47
1.0
3.785 0.000 0.000
0.000 4.047 0.000
0.000 0.000 8.808
Ca Mg Br
2 1 1
Cartesian
0.000 0.000 2.044
0.000 0.000 6.764
1.893 2.024 0.000
1.893 0.000 4.404

***

(5)
Ca2MgBr | the Alexandria database | PBE | optimized geometry; energy above the most stable polymorph in this dataset = 17 meV per atom; raw total energy = -2.481 eV/atom; formation energy (no corrections) = -64.0 kJ/mol of atoms; SG = C2/m, No. 12
1.0
3.435 -1.983 0.000
3.435 1.983 0.000
-2.299 0.000 9.291
Ca Mg Br
2 1 1
Cartesian
1.137 0.000 2.193
3.433 0.000 7.098
-1.150 0.000 4.646
3.435 0.000 0.000

***

(6)
CaMg3Br | the Alexandria database | PBE | optimized geometry; energy above the most stable polymorph in this dataset = 0 meV per atom; raw total energy = -1.574 eV/atom; formation energy (no corrections) = 11.4 kJ/mol of atoms; SG = Pm-3m, No. 221
1.0
5.467 0.000 0.000
0.000 5.467 0.000
0.000 0.000 5.467
Ca Mg Br
1 3 1
Cartesian
0.000 0.000 0.000
0.000 2.734 2.734
2.734 0.000 2.734
2.734 2.734 0.000
2.734 2.734 2.734

***

(7)
Ca2MgBr | the Alexandria database | PBE | optimized geometry; energy above the most stable polymorph in this dataset = 152 meV per atom; raw total energy = -2.346 eV/atom; formation energy (no corrections) = -51.0 kJ/mol of atoms; SG = Pmm2, No. 25
1.0
4.045 0.000 0.000
0.000 5.003 0.000
0.000 0.000 6.553
Ca Mg Br
2 1 1
Cartesian
0.000 0.000 0.000
2.022 2.501 3.063
0.000 0.000 3.289
2.022 2.501 6.481

***

(8)
Ca2MgBr | the Alexandria database | PBE | optimized geometry; energy above the most stable polymorph in this dataset = 213 meV per atom; raw total energy = -2.285 eV/atom; formation energy (no corrections) = -45.1 kJ/mol of atoms; SG = I-42d, No. 122
1.0
-4.226 4.226 3.935
4.226 -4.226 3.935
4.226 4.226 -3.935
Ca Mg Br
4 2 2
Cartesian
2.113 1.838 -0.984
2.389 -2.113 4.919
2.113 2.389 2.952
1.838 6.339 0.984
4.226 0.000 1.968
0.000 0.000 3.935
0.000 0.000 0.000
0.000 4.226 1.968

***

(9)
Ca3MgBr8 | the Alexandria database | PBE | optimized geometry; raw total energy = -3.641 eV/atom; formation energy (no corrections) = -182.6 kJ/mol of atoms; SG = C2/m, No. 12
1.0
7.264 -4.195 0.000
7.264 4.195 0.000
-4.942 0.000 6.922
Ca Mg Br
3 1 8
Cartesian
0.000 0.000 0.000
3.632 2.098 0.000
3.632 -2.098 0.000
7.264 0.000 0.000
2.422 0.000 1.587
6.126 1.973 1.530
0.049 0.000 5.394
3.461 1.973 5.393
6.126 -1.973 1.530
9.538 0.000 1.529
3.461 -1.973 5.393
7.165 0.000 5.336

***

(10)
Ca2MgBr | the Alexandria database | PBE | optimized geometry; energy above the most stable polymorph in this dataset = 574 meV per atom; raw total energy = -1.924 eV/atom; formation energy (no corrections) = -10.3 kJ/mol of atoms; SG = F-43m, No. 216
1.0
0.000 4.118 4.118
4.118 0.000 4.118
4.118 4.118 0.000
Ca Mg Br
2 1 1
Cartesian
0.000 0.000 0.000
2.059 2.059 2.059
6.178 6.178 6.178
4.118 4.118 4.118

***

(11)
Ca2MgBr | the Alexandria database | PBE | optimized geometry; energy above the most stable polymorph in this dataset = 85 meV per atom; raw total energy = -2.413 eV/atom; formation energy (no corrections) = -57.4 kJ/mol of atoms; SG = Pm, No. 6
1.0
3.908 0.000 0.000
0.000 5.925 0.000
-0.002 0.000 5.923
Ca Mg Br
2 1 1
Cartesian
0.000 0.000 0.000
0.003 2.963 2.969
1.958 2.963 0.006
3.898 0.000 2.961

***

(12)
Ca2MgBr | the Alexandria database | PBE | optimized geometry; energy above the most stable polymorph in this dataset = 165 meV per atom; raw total energy = -2.333 eV/atom; formation energy (no corrections) = -49.7 kJ/mol of atoms; SG = Immm, No. 71
1.0
-1.955 3.345 5.233
1.955 -3.345 5.233
1.955 3.345 -5.233
Ca Mg Br
2 1 1
Cartesian
0.000 0.000 2.253
0.000 0.000 8.214
0.000 3.345 0.000
1.955 0.000 0.000

***

Question: What is the formula in the twelfth record?
Answer: Ca2MgBr

***

Copy entry 7 word for word.
Ca2MgBr | the Alexandria database | PBE | optimized geometry; energy above the most stable polymorph in this dataset = 152 meV per atom; raw total energy = -2.346 eV/atom; formation energy (no corrections) = -51.0 kJ/mol of atoms; SG = Pmm2, No. 25
1.0
4.045 0.000 0.000
0.000 5.003 0.000
0.000 0.000 6.553
Ca Mg Br
2 1 1
Cartesian
0.000 0.000 0.000
2.022 2.501 3.063
0.000 0.000 3.289
2.022 2.501 6.481

***

Question: Look up the raw total energy of the second one.
Answer: -2.207 eV/atom

***

Question: Which of these has the lowest raw total energy?
Answer: Ca3MgBr8